## Ca2ZnF (PBE-GGA)

Data for crystalline Ca2ZnF at its relaxed geometry.

Calculated values
* energy above the most stable polymorph in this dataset: 444 meV/atom
* formation energy from raw total energies: -0.9444 eV per atom

Cell and atoms, written as CIF:
```
data_Ca2ZnF
_chemical_formula_sum 'Ca8 Zn4 F4'
_cell_length_a 7.2402
_cell_length_b 7.2402
_cell_length_c 7.2402
_cell_angle_alpha 90.00
_cell_angle_beta 90.00
_cell_angle_gamma 90.00
_space_group_name_H-M_alt 'F m -3 m'
_space_group_IT_number 225
_space_group_name_Hall '-F 4 2 3'
loop_
_atom_site_label
_atom_site_fract_x
_atom_site_fract_y
_atom_site_fract_z
Ca1 0.2500 0.2500 0.2500
Zn1 0.0000 0.0000 0.0000
F1 0.0000 0.0000 0.5000
```